Record 1
First-principles (PBE) data for a relaxed Ag6SeBr12 crystal, as listed in the Alexandria database.

extended XYZ file:
```
19
Lattice="-6.680 -5.331 -0.992 3.085 -4.344 -6.756 3.264 -6.641 4.391" Properties=species:S:1:pos:R:3 pbc="T T T"
Ag 2.154 -5.967 0.476
Ag -0.529 -11.288 0.534
Ag 2.360 -10.553 -3.325
Ag -2.486 -10.350 -3.833
Ag 0.197 -5.028 -3.892
Ag -2.692 -5.764 -0.032
Se 0.000 0.000 0.000
Br -0.310 -6.855 0.875
Br 1.898 -6.253 -2.270
Br -1.979 -6.115 -2.560
Br -0.021 -9.461 -4.232
Br -2.230 -10.063 -1.087
Br 1.647 -10.202 -0.797
Br 4.963 -9.121 -3.573
Br 0.996 -5.916 -6.623
Br 3.874 -7.771 2.110
Br -5.294 -7.195 0.216
Br -1.328 -10.400 3.265
Br -4.206 -8.545 -5.467
```

Properties
* formation energy without anion corrections: -220 meV per atom
* DOS at the Fermi energy: 10.7 states/eV/f.u.
* E_tot: -2.36 eV per atom
* M_tot: 0.00 μB per cell
* crystal system: trigonal


Record 2
First-principles (PBE) data for a relaxed AgSeBr crystal, as listed in the Alexandria database.

extended XYZ file:
```
3
Lattice="4.741 0.000 0.000 2.371 4.106 0.000 2.371 1.369 3.871" Properties=species:S:1:pos:R:3 pbc="T T T"
Ag 7.112 4.106 2.903
Br 0.000 0.000 0.000
Se 4.741 2.737 1.936
```

Properties
* formation energy without anion corrections: 319 meV per atom
* DOS at the Fermi energy: 4.5 states/eV/f.u.
* E_tot: -2.35 eV per atom
* M_tot: 0.00 μB per cell
* crystal system: cubic